[1]
Compound: Na2SmAlF8
Source: Alexandria via LeMat-Bulk
Functional: PBE
Structure: optimized geometry

Cell and atoms, written as CIF:
```
data_Na2SmAlF8
_chemical_formula_sum 'Na2 Sm1 Al1 F8'
_space_group_name_H-M_alt 'P 1 2/m 1'
_space_group_IT_number 10
_cell_length_a 4.8942
_cell_length_b 6.6894
_cell_length_c 5.2020
_cell_angle_alpha 90.00
_cell_angle_beta 90.53
_cell_angle_gamma 90.00
loop_
_space_group_symop_operation_xyz
'x,y,z'
'-x,-y,-z'
'-x,y,-z'
'x,-y,z'
loop_
_atom_site_label
_atom_site_fract_x
_atom_site_fract_y
_atom_site_fract_z
Na1 0.0000 0.2262 0.0000
Sm1 0.5000 0.5000 0.5000
Al1 0.5000 0.0000 0.5000
F1 0.1770 0.5000 0.2056
F2 0.2411 0.0000 0.2556
F3 0.3229 0.2086 0.6743
```

Computed properties:
N(E_F) ... 0.000 states/eV per atom
Uncorrected formation energy ... -3979 kJ/mol of formula units
Calculated total energy ... -5.609 eV per atom

---

[2]
Compound: Na2AlSnF8
Source: Alexandria via LeMat-Bulk
Functional: PBE
Structure: optimized geometry

Cell and atoms, written as CIF:
```
data_Na2AlSnF8
_chemical_formula_sum 'Na2 Al1 Sn1 F8'
_space_group_name_H-M_alt 'P 1 2/m 1'
_space_group_IT_number 10
_cell_length_a 5.0351
_cell_length_b 6.5688
_cell_length_c 5.0621
_cell_angle_alpha 90.00
_cell_angle_beta 92.29
_cell_angle_gamma 90.00
loop_
_space_group_symop_operation_xyz
'x,y,z'
'-x,-y,-z'
'-x,y,-z'
'x,-y,z'
loop_
_atom_site_label
_atom_site_fract_x
_atom_site_fract_y
_atom_site_fract_z
Na1 0.0000 0.2285 0.0000
Al1 0.5000 0.0000 0.5000
Sn1 0.5000 0.5000 0.5000
F1 0.2013 0.5000 0.2023
F2 0.2459 0.0000 0.2455
F3 0.3253 0.2136 0.6731
```

Computed properties:
N(E_F) ... 0.293 states/eV per atom
Uncorrected formation energy ... -3301 kJ/mol of formula units
Calculated total energy ... -4.964 eV per atom

---

[3]
Compound: Na2Sr7Al6F34
Source: Alexandria via LeMat-Bulk
Functional: PBE
Structure: optimized geometry

Cell and atoms, written as CIF:
```
data_Na2Sr7Al6F34
_chemical_formula_sum 'Na4 Sr14 Al12 F68'
_space_group_name_H-M_alt 'C 1 2/m 1'
_space_group_IT_number 12
_cell_length_a 16.2817
_cell_length_b 10.9888
_cell_length_c 7.3565
_cell_angle_alpha 90.00
_cell_angle_beta 101.60
_cell_angle_gamma 90.00
loop_
_space_group_symop_operation_xyz
'x,y,z'
'-x,-y,-z'
'-x,y,-z'
'x,-y,z'
'x+1/2,y+1/2,z'
'-x+1/2,-y+1/2,-z'
'-x+1/2,y+1/2,-z'
'x+1/2,-y+1/2,z'
loop_
_atom_site_label
_atom_site_fract_x
_atom_site_fract_y
_atom_site_fract_z
Na1 0.0000 0.0000 0.0000
Na2 0.0000 0.0000 0.5000
Sr1 0.0000 0.5000 0.0000
Sr2 0.1457 0.1968 0.3027
Sr3 0.2406 0.0000 0.8830
Al1 0.1092 0.2571 0.7977
Al2 0.1673 0.5000 0.5405
F1 0.0007 0.2767 0.2065
F2 0.0773 0.0000 0.2810
F3 0.0955 0.1492 0.6083
F4 0.1011 0.5000 0.3141
F5 0.1058 0.3826 0.6282
F6 0.1167 0.1302 0.9642
F7 0.1300 0.3678 0.9921
F8 0.2220 0.2397 0.8138
F9 0.2308 0.3825 0.4574
F10 0.2451 0.5000 0.7621
```

Computed properties:
N(E_F) ... 0.000 states/eV per atom
Uncorrected formation energy ... -17420 kJ/mol of formula units
Calculated total energy ... -5.735 eV per atom

---

[4]
Compound: NaSr2AlF8
Source: Alexandria via LeMat-Bulk
Functional: PBE
Structure: optimized geometry

Cell and atoms, written as CIF:
```
data_NaSr2AlF8
_chemical_formula_sum 'Na1 Sr2 Al1 F8'
_space_group_name_H-M_alt 'P -1'
_space_group_IT_number 2
_cell_length_a 4.8913
_cell_length_b 5.1424
_cell_length_c 7.4283
_cell_angle_alpha 91.77
_cell_angle_beta 91.29
_cell_angle_gamma 91.96
loop_
_space_group_symop_operation_xyz
'x,y,z'
'-x,-y,-z'
loop_
_atom_site_label
_atom_site_fract_x
_atom_site_fract_y
_atom_site_fract_z
Na1 0.0000 0.0000 0.0000
Sr1 0.4374 0.4798 0.7413
Al1 0.0000 0.0000 0.5000
F1 0.1465 0.7610 0.3429
F2 0.1842 0.8788 0.6989
F3 0.2824 0.2368 0.4637
F4 0.2969 0.3123 0.0187
```

Computed properties:
N(E_F) ... 0.000 states/eV per atom
Uncorrected formation energy ... -4147 kJ/mol of formula units
Calculated total energy ... -5.531 eV per atom

---

[5]
Compound: Na2TbAlF8
Source: Alexandria via LeMat-Bulk
Functional: PBE
Structure: optimized geometry

Cell and atoms, written as CIF:
```
data_Na2TbAlF8
_chemical_formula_sum 'Na2 Tb1 Al1 F8'
_space_group_name_H-M_alt 'P 1 2/m 1'
_space_group_IT_number 10
_cell_length_a 4.9845
_cell_length_b 6.5844
_cell_length_c 5.1254
_cell_angle_alpha 90.00
_cell_angle_beta 91.03
_cell_angle_gamma 90.00
loop_
_space_group_symop_operation_xyz
'x,y,z'
'-x,-y,-z'
'-x,y,-z'
'x,-y,z'
loop_
_atom_site_label
_atom_site_fract_x
_atom_site_fract_y
_atom_site_fract_z
Na1 0.0000 0.2290 0.0000
Tb1 0.5000 0.5000 0.5000
Al1 0.5000 0.0000 0.5000
F1 0.1937 0.5000 0.2020
F2 0.2468 0.0000 0.2498
F3 0.3234 0.2129 0.6724
```

Computed properties:
N(E_F) ... 0.000 states/eV per atom
Uncorrected formation energy ... -4003 kJ/mol of formula units
Calculated total energy ... -5.623 eV per atom

---

[6]
Compound: NaAlTlF6
Source: Alexandria via LeMat-Bulk
Functional: PBE
Structure: optimized geometry

Cell and atoms, written as CIF:
```
data_NaAlTlF6
_chemical_formula_sum 'Na2 Al2 Tl2 F12'
_space_group_name_H-M_alt 'P -3 1 c'
_space_group_IT_number 163
_space_group_name_Hall '-P 3 2c'
_cell_length_a 5.7571
_cell_length_b 5.7571
_cell_length_c 9.0225
_cell_angle_alpha 90.00
_cell_angle_beta 90.00
_cell_angle_gamma 120.00
loop_
_atom_site_label
_atom_site_fract_x
_atom_site_fract_y
_atom_site_fract_z
Na1 0.0000 0.0000 0.0000
Al1 0.3333 0.6667 0.2500
Tl1 0.3333 0.6667 0.7500
F1 0.0752 0.3988 0.1339
```

Computed properties:
N(E_F) ... 0.420 states/eV per atom
Uncorrected formation energy ... -2378 kJ/mol of formula units
Calculated total energy ... -4.811 eV per atom

---

[7]
Compound: Na2AlTlF6
Source: Alexandria via LeMat-Bulk
Functional: PBE
Structure: optimized geometry

Cell and atoms, written as CIF:
```
data_Na2AlTlF6
_chemical_formula_sum 'Na6 Al3 Tl3 F18'
_space_group_name_H-M_alt 'R 3'
_space_group_IT_number 146
_space_group_name_Hall 'R 3'
_cell_length_a 5.7688
_cell_length_b 5.7688
_cell_length_c 15.8179
_cell_angle_alpha 90.00
_cell_angle_beta 90.00
_cell_angle_gamma 120.00
loop_
_atom_site_label
_atom_site_fract_x
_atom_site_fract_y
_atom_site_fract_z
Na1 0.0000 0.0000 0.0000
Na2 0.0000 0.0000 0.4745
Al1 0.0000 0.0000 0.6777
Tl1 0.0000 0.0000 0.2092
F1 0.0491 0.7745 0.6046
F2 0.0779 0.3868 0.4057
```

Computed properties:
Energy above the most stable polymorph in this dataset ... 0.000 eV/atom
N(E_F) ... 0.000 states/eV per atom
Uncorrected formation energy ... -2803 kJ/mol of formula units
Calculated total energy ... -4.902 eV per atom

---

[8]
Compound: Na2AlTlF6
Source: Alexandria via LeMat-Bulk
Functional: PBE
Structure: optimized geometry

Cell and atoms, written as CIF:
```
data_Na2AlTlF6
_chemical_formula_sum 'Na8 Al4 Tl4 F24'
_space_group_name_H-M_alt 'F m -3 m'
_space_group_IT_number 225
_space_group_name_Hall '-F 4 2 3'
_cell_length_a 8.8118
_cell_length_b 8.8118
_cell_length_c 8.8118
_cell_angle_alpha 90.00
_cell_angle_beta 90.00
_cell_angle_gamma 90.00
loop_
_atom_site_label
_atom_site_fract_x
_atom_site_fract_y
_atom_site_fract_z
Na1 0.2500 0.2500 0.2500
Al1 0.0000 0.0000 0.0000
Tl1 0.0000 0.0000 0.5000
F1 0.0000 0.0000 0.2073
```

Computed properties:
Energy above the most stable polymorph in this dataset ... 0.162 eV/atom
N(E_F) ... 0.000 states/eV per atom
Uncorrected formation energy ... -2646 kJ/mol of formula units
Calculated total energy ... -4.740 eV per atom

---

[9]
Compound: NaAl2Tl3F9
Source: Alexandria via LeMat-Bulk
Functional: PBE
Structure: optimized geometry

Cell and atoms, written as CIF:
```
data_NaAl2Tl3F9
_chemical_formula_sum 'Na1 Al2 Tl3 F9'
_space_group_name_H-M_alt 'P -3 m 1'
_space_group_IT_number 164
_space_group_name_Hall '-P 3 2"'
_cell_length_a 5.8010
_cell_length_b 5.8010
_cell_length_c 7.8982
_cell_angle_alpha 90.00
_cell_angle_beta 90.00
_cell_angle_gamma 120.00
loop_
_atom_site_label
_atom_site_fract_x
_atom_site_fract_y
_atom_site_fract_z
Na1 0.0000 0.0000 0.0000
Al1 0.3333 0.6667 0.6413
Tl1 0.0000 0.0000 0.5000
Tl2 0.3333 0.6667 0.0983
F1 0.0000 0.5000 0.5000
F2 0.1843 0.3686 0.7645
```

Computed properties:
N(E_F) ... 0.182 states/eV per atom
Uncorrected formation energy ... -3728 kJ/mol of formula units
Calculated total energy ... -4.759 eV per atom

---

[10]
Compound: NaAl3Tl2F12
Source: Alexandria via LeMat-Bulk
Functional: PBE
Structure: optimized geometry

Cell and atoms, written as CIF:
```
data_NaAl3Tl2F12
_chemical_formula_sum 'Na3 Al9 Tl6 F36'
_space_group_name_H-M_alt 'R -3 m'
_space_group_IT_number 166
_space_group_name_Hall '-R 3 2"'
_cell_length_a 7.1169
_cell_length_b 7.1169
_cell_length_c 17.9321
_cell_angle_alpha 90.00
_cell_angle_beta 90.00
_cell_angle_gamma 120.00
loop_
_atom_site_label
_atom_site_fract_x
_atom_site_fract_y
_atom_site_fract_z
Na1 0.0000 0.0000 0.0000
Al1 0.0000 0.5000 0.5000
Tl1 0.0000 0.0000 0.3643
F1 0.0037 0.5019 0.5998
F2 0.0856 0.5428 0.8340
```

Computed properties:
N(E_F) ... 0.000 states/eV per atom
Uncorrected formation energy ... -5433 kJ/mol of formula units
Calculated total energy ... -5.336 eV per atom

---

[11]
Compound: NaAl2TlF8
Source: Alexandria via LeMat-Bulk
Functional: PBE
Structure: optimized geometry

Cell and atoms, written as CIF:
```
data_NaAl2TlF8
_chemical_formula_sum 'Na3 Al6 Tl3 F24'
_space_group_name_H-M_alt 'R -3'
_space_group_IT_number 148
_space_group_name_Hall '-R 3'
_cell_length_a 5.4529
_cell_length_b 5.4529
_cell_length_c 23.1710
_cell_angle_alpha 90.00
_cell_angle_beta 90.00
_cell_angle_gamma 120.00
loop_
_atom_site_label
_atom_site_fract_x
_atom_site_fract_y
_atom_site_fract_z
Na1 0.0000 0.0000 0.0000
Al1 0.0000 0.0000 0.2545
Tl1 0.0000 0.0000 0.5000
F1 0.0000 0.0000 0.1808
F2 0.0037 0.2998 0.7241
```

Computed properties:
N(E_F) ... 0.000 states/eV per atom
Uncorrected formation energy ... -3584 kJ/mol of formula units
Calculated total energy ... -5.274 eV per atom

---

[12]
Compound: Na3U6AlF30
Source: Alexandria via LeMat-Bulk
Functional: PBE
Structure: optimized geometry

Cell and atoms, written as CIF:
```
data_Na3U6AlF30
_chemical_formula_sum 'Na6 U12 Al2 F60'
_space_group_name_H-M_alt 'P -3 c 1'
_space_group_IT_number 165
_space_group_name_Hall '-P 3 2"c'
_cell_length_a 9.8740
_cell_length_b 9.8740
_cell_length_c 13.0267
_cell_angle_alpha 90.00
_cell_angle_beta 90.00
_cell_angle_gamma 120.00
loop_
_atom_site_label
_atom_site_fract_x
_atom_site_fract_y
_atom_site_fract_z
Na1 0.0000 0.0000 0.0000
Na2 0.3333 0.6667 0.1602
U1 0.0774 0.3992 0.3975
Al1 0.0000 0.0000 0.2500
F1 0.0763 0.1725 0.3335
F2 0.1104 0.3048 0.0160
F3 0.1210 0.5313 0.5493
F4 0.1310 0.4336 0.2141
F5 0.1711 0.5117 0.8613
```

Computed properties:
N(E_F) ... 0.589 states/eV per atom
Uncorrected formation energy ... -13519 kJ/mol of formula units
Calculated total energy ... -6.792 eV per atom